# PmNdTmTl (GGA-PBE, optimized geometry)
# **Calculated total energy**: -4.160 eV/atom
# **Crystal system**: cubic
# **Energy above the lowest structure with this stoichiometry**: 119 meV/atom
# **Magnetization**: 1.008 Bohr magnetons per cell
data_PmNdTmTl
_chemical_formula_sum 'Pm1 Nd1 Tm1 Tl1'
_cell_length_a 5.5559
_cell_length_b 5.5559
_cell_length_c 5.5559
_cell_angle_alpha 60.00
_cell_angle_beta 60.00
_cell_angle_gamma 60.00
_space_group_name_H-M_alt 'P 1'
_space_group_IT_number 1
_space_group_name_Hall 'P 1'
loop_
_atom_site_label
_atom_site_type_symbol
_atom_site_fract_x
_atom_site_fract_y
_atom_site_fract_z
Pm1 Pm 0.0000 0.0000 0.0000
Nd1 Nd 0.5000 0.5000 0.5000
Tm1 Tm 0.7500 0.7500 0.7500
Tl1 Tl 0.2500 0.2500 0.2500